Compound: K2Mo4O13
Source: Alexandria
Functional: PBE with a Hubbard U
Structure: optimized geometry

Geometry as POSCAR:
```
K2Mo4O13
1.0
-2.046 6.026 -5.280
-3.989 -7.177 -2.317
-4.186 3.075 8.890
K Mo O
4 8 26
Cartesian
-6.439 0.148 -1.901
-3.782 1.775 3.194
-3.601 3.379 -1.405
-6.620 -1.455 2.697
-3.924 1.434 -5.036
-6.298 0.490 6.329
-5.598 -1.314 -5.954
-4.624 3.237 7.246
-7.078 2.575 0.967
-3.144 -0.652 0.326
-5.376 5.363 1.751
-4.845 -3.439 -0.458
-9.153 0.155 2.894
-1.068 1.768 -1.602
-9.085 2.246 0.830
-1.136 -0.323 0.463
-6.862 2.828 -0.747
-3.360 -0.904 2.040
-7.979 2.638 3.155
-2.243 -0.714 -1.862
-4.298 1.235 -3.352
-5.923 0.689 4.645
-4.886 5.623 0.082
-5.335 -3.699 1.211
-5.485 3.390 1.687
-4.737 -1.467 -0.395
-3.787 -5.038 -0.650
-6.435 6.962 1.943
-6.374 4.861 3.795
-3.847 -2.938 -2.502
-7.903 -1.518 0.319
-2.319 3.442 0.974
-6.563 0.938 1.218
-3.659 0.985 0.075
-7.630 4.758 1.409
-2.591 -2.834 -0.117
-6.378 -1.246 -4.389
-3.843 3.170 5.682
```

Values from the calculation:
The calculated total energy comes out at -254.45 eV per cell. Its space group is P-1.